Entry 1:
Entry from Alexandria: crystalline BeSiO2F at its relaxed geometry (GGA-PBE).

Cell and atoms, written as POSCAR:
```
BeSiO2F
1.0
3.474 0.000 0.000
0.000 3.474 0.000
0.000 0.000 3.795
Be Si O F
1 1 2 1
Cartesian
0.000 0.000 0.000
1.737 1.737 1.897
0.000 1.737 1.897
1.737 0.000 1.897
1.737 1.737 0.000
```

## Properties
symmetry: P4/mmm (123)
calculated total energy: -27.362 eV for the cell shown
DOS at the Fermi energy: 0.213 states/eV/atom

=====

Entry 2:
Entry from Alexandria: crystalline BeSiO2F at its relaxed geometry (GGA-PBE).

Cell and atoms, written as POSCAR:
```
BeSiO2F
1.0
3.647 0.000 0.000
0.000 3.647 0.000
0.000 0.000 3.143
Be Si O F
1 1 2 1
Cartesian
0.000 0.000 0.000
1.823 1.823 1.572
0.000 1.823 0.000
1.823 0.000 0.000
0.000 0.000 1.572
```

## Properties
symmetry: P4/mmm (123)
calculated total energy: -27.373 eV for the cell shown
DOS at the Fermi energy: 0.161 states/eV/atom

=====

Entry 3:
Entry from Alexandria: crystalline BeSnO2F at its relaxed geometry (GGA-PBE).

Cell and atoms, written as POSCAR:
```
BeSnO2F
1.0
3.784 0.000 0.000
0.000 3.784 0.000
0.000 0.000 3.329
Be Sn O F
1 1 2 1
Cartesian
0.000 0.000 0.000
1.892 1.892 1.665
0.000 1.892 0.000
1.892 0.000 0.000
0.000 0.000 1.665
```

## Properties
symmetry: P4/mmm (123)
calculated total energy: -27.793 eV for the cell shown
DOS at the Fermi energy: 0.243 states/eV/atom

=====

Entry 4:
Entry from Alexandria: crystalline BeSnOF2 at its relaxed geometry (GGA-PBE).

Cell and atoms, written as POSCAR:
```
BeSnOF2
1.0
3.770 0.000 0.000
0.000 3.770 0.000
0.000 0.000 3.727
Be Sn O F
1 1 1 2
Cartesian
0.000 0.000 0.000
1.885 1.885 1.864
0.000 0.000 1.864
0.000 1.885 0.000
1.885 0.000 0.000
```

## Properties
symmetry: P4/mmm (123)
offset from the most stable computed form: 0 meV per atom
DOS at the Fermi energy: 0.000 states/eV/atom

=====

Entry 5:
Entry from Alexandria: crystalline BeSnOF2 at its relaxed geometry (GGA-PBE).

Cell and atoms, written as POSCAR:
```
BeSnOF2
1.0
4.409 0.000 0.000
0.000 4.409 0.000
0.000 0.000 4.057
Be Sn O F
1 1 1 2
Cartesian
0.000 0.000 0.000
2.205 2.205 2.028
2.205 2.205 0.000
0.000 2.205 2.028
2.205 0.000 2.028
```

## Properties
symmetry: P4/mmm (123)
offset from the most stable computed form: 1105 meV per atom
DOS at the Fermi energy: 0.408 states/eV/atom

=====

Entry 6:
Entry from Alexandria: crystalline BeSnO2F at its relaxed geometry (GGA-PBE).

Cell and atoms, written as POSCAR:
```
BeSnO2F
1.0
4.025 0.000 0.000
0.000 4.025 0.000
0.000 0.000 4.194
Be Sn O F
1 1 2 1
Cartesian
0.000 0.000 0.000
2.013 2.013 2.097
0.000 2.013 2.097
2.013 0.000 2.097
2.013 2.013 0.000
```

## Properties
symmetry: P4/mmm (123)
calculated total energy: -23.188 eV for the cell shown
DOS at the Fermi energy: 0.263 states/eV/atom

=====

Entry 7:
Entry from Alexandria: crystalline SrBeO2F at its relaxed geometry (GGA-PBE).

Cell and atoms, written as POSCAR:
```
SrBeO2F
1.0
4.604 0.000 0.000
0.000 4.604 0.000
0.000 0.000 4.496
Sr Be O F
1 1 2 1
Cartesian
0.000 0.000 0.000
2.302 2.302 2.248
0.000 2.302 0.000
2.302 0.000 0.000
0.000 0.000 2.248
```

## Properties
symmetry: P4/mmm (123)
calculated total energy: -19.555 eV for the cell shown
DOS at the Fermi energy: 0.258 states/eV/atom

=====

Entry 8:
Entry from Alexandria: crystalline SrBeO2F at its relaxed geometry (GGA-PBE).

Cell and atoms, written as POSCAR:
```
SrBeO2F
1.0
3.559 0.000 0.000
0.000 3.559 0.000
0.000 0.000 4.173
Sr Be O F
1 1 2 1
Cartesian
0.000 0.000 0.000
1.780 1.780 2.087
0.000 1.780 2.087
1.780 0.000 2.087
1.780 1.780 0.000
```

## Properties
symmetry: P4/mmm (123)
calculated total energy: -29.435 eV for the cell shown
DOS at the Fermi energy: 0.066 states/eV/atom

=====

Copy entry 2 word for word.
Entry from Alexandria: crystalline BeSiO2F at its relaxed geometry (GGA-PBE).

Cell and atoms, written as POSCAR:
```
BeSiO2F
1.0
3.647 0.000 0.000
0.000 3.647 0.000
0.000 0.000 3.143
Be Si O F
1 1 2 1
Cartesian
0.000 0.000 0.000
1.823 1.823 1.572
0.000 1.823 0.000
1.823 0.000 0.000
0.000 0.000 1.572
```

## Properties
symmetry: P4/mmm (123)
calculated total energy: -27.373 eV for the cell shown
DOS at the Fermi energy: 0.161 states/eV/atom

=====

- Among the records above, which one has the lowest DOS at the Fermi energy?
  number 4